# 1
## Sn2HgS2 (PBE)

Data for a relaxed structure of Sn2HgS2.

Cell lengths 8.3172, 8.3172, 3.6940 Å; angles 90.00, 90.00, 90.00 degrees
Last column: nearest neighbours and their distance in Å.
Positions (direct):
S: 0.3388 0.8388 0.0000  2 Sn 2.65
S: 0.8388 0.6612 0.0000  2 Sn 2.65
S: 0.6612 0.1612 0.0000  2 Sn 2.65
S: 0.1612 0.3388 0.0000  2 Sn 2.65
Hg: 0.0000 0.0000 0.0000  4 S 3.12
Hg: 0.5000 0.5000 0.0000  4 S 3.12
Sn: 0.1769 0.6769 0.5000  2 S 2.65
Sn: 0.6769 0.8231 0.5000  2 S 2.65
Sn: 0.8231 0.3231 0.5000  2 S 2.65
Sn: 0.3231 0.1769 0.5000  2 S 2.65

space-group type	P4/mbm
formation energy from raw total energies	-0.093	eV per atom
energy relative to the lowest polymorph listed for this composition	0.189	eV per atom
spin magnetization	0.000	μB per cell

# 2
## SnHg2S (PBE)

Data for a relaxed structure of SnHg2S.

Cell lengths 6.7038, 6.7038, 7.2826 Å; angles 62.60, 62.60, 90.00 degrees
Last column: nearest neighbours and their distance in Å.
Positions (direct):
S: 0.5000 0.5000 0.0000  4 Hg 2.64
S: 0.2500 0.7500 0.5000  4 Hg 2.64
Hg: 0.6000 0.1250 0.2500  2 S 2.64, 2 Sn 2.85
Hg: 0.1500 0.6250 0.2500  2 S 2.64, 2 Sn 2.85
Hg: 0.3750 0.4000 0.7500  2 S 2.64, 2 Sn 2.85
Hg: 0.8750 0.8500 0.7500  2 S 2.64, 2 Sn 2.85
Sn: 0.0000 0.0000 0.0000  4 Hg 2.85
Sn: 0.7500 0.2500 0.5000  4 Hg 2.85

space-group type	I-42d
formation energy from raw total energies	0.106	eV per atom
spin magnetization	0.000	μB per cell

# 3
## Sn2HgS4 (PBE)

Data for a relaxed structure of Sn2HgS4.

Cell lengths 6.5056, 7.0740, 7.0740 Å; angles 77.79, 62.62, 62.62 degrees
Last column: nearest neighbours and their distance in Å.
Positions (direct):
Sn: 0.7500 0.5000 0.5000  4 S 2.44
Sn: 0.2500 0.5000 0.5000  4 S 2.44
Hg: 0.0000 0.0000 0.0000  12 S 4.05-4.34
S: 0.8131 0.7705 0.6033  2 Sn 2.44
S: 0.4164 0.3967 0.7705  2 Sn 2.44
S: 0.5836 0.6033 0.2295  2 Sn 2.44
S: 0.1869 0.2295 0.3967  2 Sn 2.44

space-group type	I4/m
formation energy from raw total energies	-0.233	eV per atom
spin magnetization	0.000	μB per cell